Below is a crystal of Al6Zn7 relaxed with PBEsol, with properties calculated at the SCAN level.

* symmetry: R-3m, No. 166
* Fermi-level density of states: 0.240 states/eV per atom
* total energy: -10.84 eV/atom
* E_form: 1.8 kJ/mol of atoms

a = 5.0223 Å, b = 5.0223 Å, c = 9.6342 Å
α = 74.89°, β = 74.89°, γ = 60.00°
Last column: nearest neighbours and their distance in Å.
Positions (direct):
Al: 0.9530 0.9530 0.1410  1 Al 2.59, 6 Zn 2.75
Al: 0.0470 0.0470 0.8590  1 Al 2.59, 6 Zn 2.75
Al: 0.8465 0.8465 0.4604  12 Zn 2.92-3.09, 4 Al 2.93-2.99
Al: 0.1535 0.1535 0.5396  12 Zn 2.92-3.09, 4 Al 2.93-2.99
Al: 0.6658 0.6658 0.0027  6 Zn 2.81-2.84, 3 Al 2.90
Al: 0.3342 0.3342 0.9973  6 Zn 2.81-2.84, 3 Al 2.90
Zn: 0.4110 0.4110 0.2636  5 Zn 2.49-2.62, 2 Al 2.75
Zn: 0.9144 0.4110 0.2636  5 Zn 2.49-2.62, 2 Al 2.75
Zn: 0.4110 0.9144 0.2636  5 Zn 2.49-2.62, 2 Al 2.75
Zn: 0.5890 0.5890 0.7364  5 Zn 2.49-2.62, 2 Al 2.75
Zn: 0.5890 0.0856 0.7364  5 Zn 2.49-2.62, 2 Al 2.75
Zn: 0.0856 0.5890 0.7364  5 Zn 2.49-2.62, 2 Al 2.75
Zn: 0.5000 0.5000 0.5000  6 Zn 2.62, 6 Al 2.92